## ScTaZn2Sb (GGA-PBE)

Data for a geometry-optimized ScTaZn2Sb structure.

Properties
* uncorrected energy: -18.73 eV/cell

The structure in CIF format:
```
data_ScTaZn2Sb
_symmetry_space_group_name_H-M 'P 1'
_symmetry_Int_Tables_number 1
_cell_length_a 4.996
_cell_length_b 4.980
_cell_length_c 4.996
_cell_angle_alpha 90.00
_cell_angle_beta 90.00
_cell_angle_gamma 90.00
loop_
_symmetry_equiv_pos_as_xyz
'x,y,z'
loop_
_atom_site_label
_atom_site_fract_x
_atom_site_fract_y
_atom_site_fract_z
Zn1 0.000 0.000 0.500
Ta1 0.000 0.500 0.000
Sc1 0.000 0.000 0.000
Sb1 0.500 0.500 0.500
Zn2 0.500 0.000 0.000
```

## Pa2RhI2 (GGA-PBE)

Data for a geometry-optimized Pa2RhI2 structure.

Properties
* uncorrected energy: -32.89 eV/cell

The structure in CIF format:
```
data_Pa2RhI2
_symmetry_space_group_name_H-M 'P 1'
_symmetry_Int_Tables_number 1
_cell_length_a 4.102
_cell_length_b 4.100
_cell_length_c 12.076
_cell_angle_alpha 81.44
_cell_angle_beta 80.22
_cell_angle_gamma 59.99
loop_
_symmetry_equiv_pos_as_xyz
'x,y,z'
loop_
_atom_site_label
_atom_site_fract_x
_atom_site_fract_y
_atom_site_fract_z
Pa1 0.713 0.198 0.376
Rh1 0.000 0.500 0.500
Pa2 0.287 0.802 0.624
I1 0.451 0.913 0.185
I2 0.549 0.087 0.815
```

## V2AsPb2 (GGA-PBE)

Data for a geometry-optimized V2AsPb2 structure.

Properties
* energy above the most stable polymorph in this dataset: 0 meV per atom
* E_form: 248 meV per atom

The structure in CIF format:
```
data_V2AsPb2
_symmetry_space_group_name_H-M 'P 1'
_symmetry_Int_Tables_number 1
_cell_length_a 6.523
_cell_length_b 6.523
_cell_length_c 4.788
_cell_angle_alpha 90.00
_cell_angle_beta 90.00
_cell_angle_gamma 90.00
loop_
_symmetry_equiv_pos_as_xyz
'x,y,z'
loop_
_atom_site_label
_atom_site_fract_x
_atom_site_fract_y
_atom_site_fract_z
V1 0.369 0.869 0.000
Pb1 0.673 0.827 0.500
Pb2 0.327 0.173 0.500
V2 0.131 0.369 0.000
As1 0.000 0.000 0.000
V3 0.869 0.631 0.000
Pb3 0.827 0.327 0.500
As2 0.500 0.500 0.000
Pb4 0.173 0.673 0.500
V4 0.631 0.131 0.000
```

## K2RbPmF6 (GGA-PBE)

Data for a geometry-optimized K2RbPmF6 structure.

Properties
* uncorrected energy: -52.13 eV/cell

The structure in CIF format:
```
data_K2RbPmF6
_symmetry_space_group_name_H-M 'P 1'
_symmetry_Int_Tables_number 1
_cell_length_a 6.641
_cell_length_b 6.640
_cell_length_c 6.883
_cell_angle_alpha 90.01
_cell_angle_beta 118.85
_cell_angle_gamma 120.00
loop_
_symmetry_equiv_pos_as_xyz
'x,y,z'
loop_
_atom_site_label
_atom_site_fract_x
_atom_site_fract_y
_atom_site_fract_z
K1 0.565 0.782 0.332
F1 0.078 0.169 0.714
F2 0.559 0.909 0.713
Pm1 0.996 0.997 0.979
F3 0.438 0.097 0.164
F4 0.838 0.740 0.164
Rb1 0.012 0.506 0.504
K2 0.580 0.289 0.855
F5 0.819 0.649 0.713
F6 0.081 0.340 0.164
```

## FeOsW2 (GGA-PBE)

Data for a geometry-optimized FeOsW2 structure.

Properties
* energy above the most stable polymorph in this dataset: 840 meV per atom
* E_form: 950 meV per atom

The structure in CIF format:
```
data_FeOsW2
_symmetry_space_group_name_H-M 'P 1'
_symmetry_Int_Tables_number 1
_cell_length_a 3.883
_cell_length_b 3.883
_cell_length_c 9.031
_cell_angle_alpha 77.58
_cell_angle_beta 77.58
_cell_angle_gamma 90.00
loop_
_symmetry_equiv_pos_as_xyz
'x,y,z'
loop_
_atom_site_label
_atom_site_fract_x
_atom_site_fract_y
_atom_site_fract_z
W1 0.375 0.393 0.750
Fe1 0.500 0.500 0.000
Fe2 0.250 0.750 0.500
Os1 0.750 0.250 0.500
W2 0.875 0.857 0.750
W3 0.607 0.125 0.250
Os2 0.000 0.000 0.000
W4 0.143 0.625 0.250
```

## BeBiIN2 (GGA-PBE)

Data for a geometry-optimized BeBiIN2 structure.

Properties
* energy above the most stable polymorph in this dataset: 0 meV per atom

The structure in CIF format:
```
data_BeBiIN2
_symmetry_space_group_name_H-M 'P 1'
_symmetry_Int_Tables_number 1
_cell_length_a 4.227
_cell_length_b 4.227
_cell_length_c 4.831
_cell_angle_alpha 90.00
_cell_angle_beta 90.00
_cell_angle_gamma 90.00
loop_
_symmetry_equiv_pos_as_xyz
'x,y,z'
loop_
_atom_site_label
_atom_site_fract_x
_atom_site_fract_y
_atom_site_fract_z
Be1 0.000 0.000 0.000
N1 0.000 0.500 0.000
N2 0.500 0.000 0.000
I1 0.000 0.000 0.500
Bi1 0.500 0.500 0.500
```

no.,size of the total moment (μB per cell)
1,0.0
2,1.9
3,3.0
4,0.3
5,3.1
6,2.1